Arrangement 1

Material: BeTcNi
Method: DFT, PBE-GGA
State: optimized geometry

Computed properties:
**SG**: P3m1 (156)
**Crystal system**: trigonal

a b c (Å): 2.609 2.609 5.941
angles (deg): 90.00 90.00 120.00
Element x y z (fractional)
1 Be 0.000 0.000 0.000
2 Tc 0.667 0.333 0.656
3 Ni 0.333 0.667 0.298

=====

Arrangement 2

Material: BeTcNi
Method: DFT, PBE-GGA
State: optimized geometry

Computed properties:
**SG**: F-43m (216)
**Crystal system**: cubic

a b c (Å): 3.809 3.809 3.809
angles (deg): 60.00 60.00 60.00
Element x y z (fractional)
1 Be 0.000 0.000 0.000
2 Tc 0.500 0.500 0.500
3 Ni 0.250 0.250 0.250

=====

Arrangement 3

Material: BeTcNi
Method: DFT, PBE-GGA
State: optimized geometry

Computed properties:
**SG**: I4mm (107)
**Crystal system**: tetragonal

a b c (Å): 5.082 5.082 5.082
angles (deg): 149.90 149.90 43.09
Element x y z (fractional)
1 Be 0.000 0.000 0.000
2 Tc 0.675 0.675 0.000
3 Ni 0.369 0.369 0.000

=====

Arrangement 4

Material: BeTcNi
Method: DFT, PBE-GGA
State: optimized geometry

Computed properties:
**SG**: F-43m (216)
**Crystal system**: cubic

a b c (Å): 3.884 3.884 3.884
angles (deg): 60.00 60.00 60.00
Element x y z (fractional)
1 Be 0.000 0.000 0.000
2 Tc 0.750 0.750 0.750
3 Ni 0.500 0.500 0.500

=====

What should be chosen as the most stable of them? Choose arrangement 3.

=====

Arrangement 1

Material: Be2TcNi
Method: DFT, PBE-GGA
State: optimized geometry

Computed properties:
**SG**: P4/mmm (123)
**Crystal system**: tetragonal

a b c (Å): 3.979 3.979 2.595
angles (deg): 90.00 90.00 90.00
Element x y z (fractional)
1 Be 0.000 0.500 0.000
2 Be 0.500 0.000 0.000
3 Tc 0.000 0.000 0.500
4 Ni 0.500 0.500 0.500

=====

Arrangement 2

Material: Be2TcNi
Method: DFT, PBE-GGA
State: optimized geometry

Computed properties:
**SG**: Fm-3m (225)
**Crystal system**: cubic

a b c (Å): 3.861 3.861 3.861
angles (deg): 60.00 60.00 60.00
Element x y z (fractional)
1 Be 0.250 0.250 0.250
2 Be 0.750 0.750 0.750
3 Tc 0.000 0.000 0.000
4 Ni 0.500 0.500 0.500

=====

What should be chosen as the most stable of them? Choose arrangement 1.

=====

Arrangement 1

Material: Be2TcNi
Method: DFT, PBE-GGA
State: optimized geometry

Computed properties:
**SG**: Amm2 (38)
**Crystal system**: orthorhombic

a b c (Å): 3.670 4.577 4.577
angles (deg): 32.49 90.00 90.00
Element x y z (fractional)
1 Be 0.000 0.000 0.000
2 Be 0.500 0.135 0.135
3 Tc 0.500 0.398 0.398
4 Ni 0.000 0.721 0.721

=====

Arrangement 2

Material: Be2TcNi
Method: DFT, PBE-GGA
State: optimized geometry

Computed properties:
**SG**: I-4m2 (119)
**Crystal system**: tetragonal

a b c (Å): 4.499 4.499 4.499
angles (deg): 136.81 136.81 62.73
Element x y z (fractional)
1 Be 0.000 0.000 0.000
2 Be 0.750 0.250 0.500
3 Tc 0.500 0.500 0.000
4 Ni 0.250 0.750 0.500

=====

What should be chosen as the most stable of them? Choose arrangement 1.

=====

Arrangement 1

Material: Be2TcNi
Method: DFT, PBE-GGA
State: optimized geometry

Computed properties:
**SG**: Pmmm (47)
**Crystal system**: orthorhombic

a b c (Å): 2.551 2.808 5.662
angles (deg): 90.00 90.00 90.00
Element x y z (fractional)
1 Be 0.000 0.000 0.214
2 Be 0.000 0.000 0.786
3 Tc 0.500 0.500 0.500
4 Ni 0.500 0.500 0.000

=====

Arrangement 2

Material: Be2TcNi
Method: DFT, PBE-GGA
State: optimized geometry

Computed properties:
**SG**: F-43m (216)
**Crystal system**: cubic

a b c (Å): 3.948 3.948 3.948
angles (deg): 60.00 60.00 60.00
Element x y z (fractional)
1 Be 0.000 0.000 0.000
2 Be 0.250 0.250 0.250
3 Tc 0.500 0.500 0.500
4 Ni 0.750 0.750 0.750

=====

What should be chosen as the most stable of them? Choose arrangement 1.

=====

Arrangement 1

Material: Be2TcNi
Method: DFT, PBE-GGA
State: optimized geometry

Computed properties:
**SG**: Cm (8)
**Crystal system**: monoclinic

a b c (Å): 4.473 4.473 4.092
angles (deg): 108.32 108.32 32.76
Element x y z (fractional)
1 Be 0.000 0.000 0.000
2 Be 0.723 0.723 0.325
3 Tc 0.480 0.480 0.483
4 Ni 0.252 0.252 0.856

=====

Arrangement 2

Material: Be2TcNi
Method: DFT, PBE-GGA
State: optimized geometry

Computed properties:
**SG**: R-3m (166)
**Crystal system**: trigonal

a b c (Å): 7.672 7.672 7.672
angles (deg): 19.50 19.50 19.50
Element x y z (fractional)
1 Be 0.244 0.244 0.244
2 Be 0.756 0.756 0.756
3 Tc 0.000 0.000 0.000
4 Ni 0.500 0.500 0.500

=====

Arrangement 3

Material: Be2TcNi
Method: DFT, PBE-GGA
State: optimized geometry

Computed properties:
**SG**: Imm2 (44)
**Crystal system**: orthorhombic

a b c (Å): 4.727 4.727 4.727
angles (deg): 148.33 130.76 59.73
Element x y z (fractional)
1 Be 0.000 0.000 0.000
2 Be 0.771 0.271 0.500
3 Tc 0.504 0.504 0.000
4 Ni 0.232 0.732 0.500

=====

What should be chosen as the most stable of them? Choose arrangement 1.

=====

Arrangement 1

Material: Be2TcNi
Method: DFT, PBE-GGA
State: optimized geometry

Computed properties:
**SG**: P4mm (99)
**Crystal system**: tetragonal

a b c (Å): 2.643 2.643 5.850
angles (deg): 90.00 90.00 90.00
Element x y z (fractional)
1 Be 0.000 0.000 0.000
2 Be 0.500 0.500 0.196
3 Tc 0.500 0.500 0.724
4 Ni 0.000 0.000 0.409

=====

Arrangement 2

Material: Be2TcNi
Method: DFT, PBE-GGA
State: optimized geometry

Computed properties:
**SG**: Immm (71)
**Crystal system**: orthorhombic

a b c (Å): 4.595 4.595 4.595
angles (deg): 146.94 124.06 66.54
Element x y z (fractional)
1 Be 0.232 0.232 0.000
2 Be 0.768 0.768 0.000
3 Tc 0.500 0.000 0.500
4 Ni 0.000 0.500 0.500

=====

Arrangement 3

Material: Be2TcNi
Method: DFT, PBE-GGA
State: optimized geometry

Computed properties:
**SG**: C2/m (12)
**Crystal system**: monoclinic

a b c (Å): 4.451 4.451 2.448
angles (deg): 101.08 101.08 110.12
Element x y z (fractional)
1 Be 0.000 0.500 0.000
2 Be 0.500 0.000 0.000
3 Tc 0.000 0.000 0.500
4 Ni 0.500 0.500 0.500

=====

Arrangement 4

Material: Be2TcNi
Method: DFT, PBE-GGA
State: optimized geometry

Computed properties:
**SG**: I-42d (122)
**Crystal system**: tetragonal

a b c (Å): 4.864 4.864 4.864
angles (deg): 105.18 105.18 118.45
Element x y z (fractional)
1 Be 0.102 0.625 0.977
2 Be 0.375 0.352 0.477
3 Be 0.648 0.125 0.023
4 Be 0.875 0.898 0.523
5 Tc 0.250 0.750 0.500
6 Tc 0.500 0.500 0.000
7 Ni 0.000 0.000 0.000
8 Ni 0.750 0.250 0.500

=====

What should be chosen as the most stable of them? Choose arrangement 1.